Te6Pd2Au: optimized geometry, PBE.

Calculated values
polymorph energy (0 for the lowest one)	0.00	eV per formula unit
calculated total energy	-3.8522	eV per atom

abc: 7.183 7.183 5.171
angles: 90.00 90.00 120.00
Fractional positions:
Te (0.000, 0.345, 0.273)
Te (0.000, 0.655, 0.727)
Te (0.345, 0.000, 0.273)
Te (0.345, 0.345, 0.727)
Te (0.655, 0.000, 0.727)
Te (0.655, 0.655, 0.273)
Pd (0.333, 0.667, 0.000)
Pd (0.667, 0.333, 0.000)
Au (0.000, 0.000, 0.000)